# 1
Material: Zn2ReP
Method: DFT, PBE
State: relaxed

abc: 3.131 3.131 5.748
angles: 90.00 90.00 90.00
Space group P4mm (No. 99)
Asymmetric unit:
Zn: 0.000 0.000 0.000 x1
Zn: 0.500 0.500 0.240 x1
Re: 0.500 0.500 0.708 x1
P: 0.000 0.000 0.518 x1

**M_tot**: 0.0 μB per formula unit
**Raw total energy**: -5.09 eV per atom

---

# 2
Material: Pm6SiBr3N2
Method: DFT, PBE
State: relaxed

abc: 18.589 3.881 8.581
angles: 90.00 111.36 90.00
Space group C2/m (No. 12)
Asymmetric unit:
Pm: 0.029 0.000 0.249 x4
Pm: 0.164 0.500 0.142 x4
Pm: 0.186 0.500 0.547 x4
Si: 0.000 0.500 0.000 x2
Br: 0.000 0.500 0.500 x2
Br: 0.164 0.000 0.828 x4
N: 0.173 0.000 0.342 x4

**M_tot**: 0.0 μB per formula unit
**Uncorrected formation energy**: -1.2652 eV/atom

---

# 3
Material: Mg2CdCo
Method: DFT, PBE
State: relaxed

abc: 4.027 4.027 19.281
angles: 90.00 90.00 90.00
Space group I-42d (No. 122)
Asymmetric unit:
Mg: 0.233 0.250 0.125 x8
Cd: 0.000 0.000 0.500 x4
Co: 0.000 0.000 0.000 x4

**M_tot**: 1.2 μB per formula unit
**Raw total energy**: -2.37 eV per atom

---

# 4
Material: Ta2TcAs
Method: DFT, PBE
State: relaxed

abc: 3.1282 3.1282 24.4625
angles: 90.00 90.00 120.00
Space group R3m (No. 160, hexagonal axes)
Asymmetric unit:
Ta: 0.0000 0.0000 0.0000 x3
Ta: 0.0000 0.0000 0.2420 x3
Tc: 0.0000 0.0000 0.4938 x3
As: 0.0000 0.0000 0.7500 x3

**M_tot**: 0.0 μB per formula unit
**Raw total energy**: -9.60 eV per atom

---

# 5
Material: CaIn2Sb
Method: DFT, PBE
State: relaxed

abc: 4.033 4.033 6.878
angles: 90.00 90.00 90.00
Space group P4mm (No. 99)
Asymmetric unit:
Ca: 0.000 0.000 0.000 x1
In: 0.000 0.000 0.511 x1
In: 0.500 0.500 0.283 x1
Sb: 0.500 0.500 0.739 x1

**M_tot**: 0.0 μB per formula unit
**Uncorrected formation energy**: -0.3384 eV/atom

---

# 6
Material: NaLi2Cu
Method: DFT, PBE
State: relaxed

abc: 4.4687 4.4687 14.5532
angles: 90.00 90.00 120.00
Space group R3m (No. 160, hexagonal axes)
Asymmetric unit:
Na: 0.0000 0.0000 0.0000 x3
Li: 0.0000 0.0000 0.5312 x3
Li: 0.0000 0.0000 0.7907 x3
Cu: 0.0000 0.0000 0.2042 x3

**Energy relative to the lowest polymorph listed for this composition**: 0.080 eV per atom
**M_tot**: 0.0 μB per formula unit

---

Calculated values (g/cm³) of theoretical density for the records, taken in order: 10.25, 6.72, 4.67, 12.85, 5.81, 1.99.